Computed, not measured: a relaxed Nd8DyEr6 crystal at the PBE level of DFT.

```
Nd8DyEr6
1.0
6.554 0.000 0.000
0.000 8.158 -4.710
0.000 0.000 9.420
Nd Er Dy
8 6 1
Direct
0.833 0.250 0.962
0.121 0.667 0.333
0.833 0.038 0.288
0.833 0.712 0.750
0.167 0.288 0.250
0.879 0.333 0.667
0.167 0.750 0.038
0.167 0.962 0.712
0.343 0.343 0.905
0.657 0.657 0.095
0.657 0.438 0.343
0.657 0.905 0.562
0.343 0.562 0.657
0.343 0.095 0.438
0.500 0.000 0.000
```

E_tot = -4.499 eV/atom
density of states at the Fermi level = 1.536 states/eV per atom
E_form = 2.644 eV per formula unit